P) Here is crystalline MgTeRu2 at its relaxed geometry from Alexandria. Energies are from PBE.

a = 4.589 Å, b = 4.589 Å, c = 4.589 Å
α = 60.00°, β = 60.00°, γ = 60.00°
Fractional coordinates of all 4 atoms:
Mg  0.000  0.000  0.000
Te  0.750  0.750  0.750
Ru  0.250  0.250  0.250
Ru  0.500  0.500  0.500

Output
The calculation puts the total magnetization at 0.33 μB/atom.


Q) Here is crystalline MgTeRu2 at its relaxed geometry from Alexandria. Energies are from PBE.

a = 5.916 Å, b = 5.916 Å, c = 5.916 Å
α = 103.95°, β = 103.95°, γ = 121.18°
Fractional coordinates of all 8 atoms:
Mg  0.000  0.000  0.000
Mg  0.750  0.250  0.500
Te  0.250  0.750  0.500
Te  0.500  0.500  0.000
Ru  0.166  0.625  0.041
Ru  0.375  0.416  0.541
Ru  0.584  0.125  0.959
Ru  0.875  0.834  0.459

Output
The calculation puts the total magnetization at 0.00 μB/atom.


Energies relative to the most stable structure are P) 0.000; Q) 0.168, reported in eV/atom.


P) Here is crystalline MgTeRu at its relaxed geometry from Alexandria. Energies are from PBE.

a = 3.436 Å, b = 3.436 Å, c = 6.310 Å
α = 90.00°, β = 90.00°, γ = 120.00°
Fractional coordinates of all 3 atoms:
Mg  0.000  0.000  0.000
Te  0.333  0.667  0.568
Ru  0.667  0.333  0.308

Output
The calculation puts the total magnetization at 0.00 μB/atom.


Q) Here is crystalline MgTeRu at its relaxed geometry from Alexandria. Energies are from PBE.

a = 4.423 Å, b = 4.423 Å, c = 4.423 Å
α = 60.00°, β = 60.00°, γ = 60.00°
Fractional coordinates of all 3 atoms:
Mg  0.000  0.000  0.000
Te  0.500  0.500  0.500
Ru  0.250  0.250  0.250

Output
The calculation puts the total magnetization at 0.00 μB/atom.


Energies relative to the most stable structure are P) 0.102; Q) 0.000, reported in eV/atom.


P) Here is crystalline MgTeRu at its relaxed geometry from Alexandria. Energies are from PBE.

a = 4.384 Å, b = 4.384 Å, c = 6.222 Å
α = 90.00°, β = 90.00°, γ = 90.00°
Fractional coordinates of all 6 atoms:
Mg  0.250  0.250  0.226
Mg  0.750  0.750  0.774
Te  0.250  0.250  0.758
Te  0.750  0.750  0.242
Ru  0.250  0.750  0.500
Ru  0.750  0.250  0.500

Output
The calculation puts the total magnetization at 0.00 μB/atom.


Q) Here is crystalline MgTeRu at its relaxed geometry from Alexandria. Energies are from PBE.

a = 4.463 Å, b = 4.463 Å, c = 3.420 Å
α = 90.00°, β = 90.00°, γ = 120.00°
Fractional coordinates of all 3 atoms:
Mg  0.000  0.000  0.000
Te  0.333  0.667  0.500
Ru  0.667  0.333  0.500

Output
The calculation puts the total magnetization at 0.00 μB/atom.


Energies relative to the most stable structure are P) 0.000; Q) 0.255, reported in eV/atom.


P) Here is crystalline MgTe3Ru at its relaxed geometry from Alexandria. Energies are from PBE.

a = 5.253 Å, b = 5.253 Å, c = 5.253 Å
α = 90.00°, β = 90.00°, γ = 90.00°
Fractional coordinates of all 5 atoms:
Mg  0.000  0.000  0.000
Te  0.000  0.000  0.500
Te  0.000  0.500  0.000
Te  0.500  0.000  0.000
Ru  0.500  0.500  0.500

Output
The calculation puts the total magnetization at 0.00 μB/atom.


Q) Here is crystalline MgTe3Ru at its relaxed geometry from Alexandria. Energies are from PBE.

a = 5.256 Å, b = 5.256 Å, c = 5.256 Å
α = 90.00°, β = 90.00°, γ = 90.00°
Fractional coordinates of all 5 atoms:
Mg  0.000  0.000  0.000
Te  0.000  0.500  0.500
Te  0.500  0.000  0.500
Te  0.500  0.500  0.000
Ru  0.500  0.500  0.500

Output
The calculation puts the total magnetization at 0.18 μB/atom.


Energies relative to the most stable structure are P) 0.728; Q) 0.000, reported in eV/atom.